# 1
The following is a DFT calculation (PBE) of a relaxed structure of LaSc2Te.

Unit cell a=11.1848 b=3.7595 c=6.1867 alpha=90.00 beta=119.84 gamma=90.00
With the nearest neighbours (Å) after each atom.
Space group Cm (No. 8)
One atom of each set of equivalent atoms:
La: 0.0000 0.0000 0.0000  1 Sc 3.09, 3 Te 3.24-3.28
Sc: 0.0761 0.5000 0.5755  3 Te 3.03-3.22, 2 Sc 3.37
Sc: 0.2983 0.5000 0.2044  2 Te 2.92, 1 La 3.09
Te: 0.2809 0.0000 0.5488  5 Sc 2.92-3.22, 2 La 3.24

Results
VASP energy: -45.30 eV for the cell shown
E_form (uncorrected): -185 kJ/mol of formula units

***

# 2
The following is a DFT calculation (PBE) of a relaxed structure of DyHoCdGa.

Unit cell a=7.3019 b=7.3019 c=7.3019 alpha=90.00 beta=90.00 gamma=90.00
With the nearest neighbours (Å) after each atom.
Space group F-43m (No. 216)
One atom of each set of equivalent atoms:
Dy: 0.0000 0.0000 0.0000  4 Ga 3.16, 4 Cd 3.16
Ho: 0.0000 0.0000 0.5000  4 Cd 3.16, 4 Ga 3.16
Cd: 0.2500 0.2500 0.7500  4 Dy 3.16, 4 Ho 3.16
Ga: 0.2500 0.2500 0.2500  4 Ho 3.16, 4 Dy 3.16

Results
VASP energy: -59.53 eV for the cell shown

***

# 3
The following is a DFT calculation (PBE) of a relaxed structure of CePm3Tl3Se8.

Unit cell a=8.5497 b=8.5497 c=23.3477 alpha=90.00 beta=90.00 gamma=120.00
With the nearest neighbours (Å) after each atom.
Space group R-3m (No. 166, hexagonal axes)
One atom of each set of equivalent atoms:
Ce: 0.0000 0.0000 0.0000  6 Se 2.89
Pm: 0.0000 0.5000 0.0000  6 Se 2.96
Tl: 0.0000 0.5000 0.5000  6 Se 3.35-3.36
Se: 0.0000 0.0000 0.2635  3 Pm 2.96
Se: 0.0077 0.5039 0.7346  1 Ce 2.89, 2 Pm 2.96

Results
VASP energy: -229.72 eV for the cell shown
E_form (uncorrected): -2066 kJ/mol of formula units

***

# 4
The following is a DFT calculation (PBE) of a relaxed structure of Ho2MgRh3.

Unit cell a=4.6914 b=4.6914 c=11.5088 alpha=90.00 beta=90.00 gamma=120.00
With the nearest neighbours (Å) after each atom.
Space group P-3m1 (No. 164)
One atom of each set of equivalent atoms:
Ho: 0.0000 0.0000 0.0000  8 Rh 2.89-2.92
Ho: 0.0000 0.0000 0.5000  8 Rh 2.84-2.86
Ho: 0.3333 0.6667 0.1800  8 Rh 2.77-3.06
Mg: 0.3333 0.6667 0.6632  8 Rh 2.79-2.88
Rh: 0.0000 0.0000 0.2533  5 Ho 2.84-2.92, 3 Mg 2.87
Rh: 0.3333 0.6667 0.4207  4 Ho 2.77-2.86, 4 Mg 2.79-2.88
Rh: 0.3333 0.6667 0.9136  1 Mg 2.88, 7 Ho 2.89-3.06

Results
VASP energy: -75.29 eV for the cell shown

***

# 5
The following is a DFT calculation (PBE) of a relaxed structure of NdY2Ho2Tm2.

Unit cell a=17.6200 b=3.4860 c=8.3283 alpha=90.00 beta=116.62 gamma=90.00
With the nearest neighbours (Å) after each atom.
Space group C2/m (No. 12)
One atom of each set of equivalent atoms:
Nd: 0.0000 0.0000 0.0000  2 Ho 3.43, 2 Nd 3.49, 4 Y 3.55, 4 Tm 3.60
Y: 0.0724 0.5000 0.4139  3 Y 3.44-3.49, 3 Ho 3.48, 2 Nd 3.55, 2 Tm 3.59-3.60
Ho: 0.2114 0.0000 0.2969  1 Nd 3.43, 3 Tm 3.45-3.50, 3 Y 3.48, 4 Ho 3.49
Tm: 0.1502 0.5000 0.8929  3 Ho 3.45-3.50, 4 Tm 3.49-3.60, 2 Y 3.59-3.60, 2 Nd 3.60

Results
VASP energy: -69.47 eV for the cell shown

***

# 6
The following is a DFT calculation (PBE) of a relaxed structure of FeCuRh2.

Unit cell a=2.7264 b=4.5052 c=8.8254 alpha=90.00 beta=90.00 gamma=90.00
With the nearest neighbours (Å) after each atom.
Space group Cmm2 (No. 35)
One atom of each set of equivalent atoms:
Fe: 0.0000 0.0000 0.0000  2 Cu 2.51, 2 Rh 2.54, 6 Fe 2.63-2.73
Cu: 0.0000 0.5000 0.7617  2 Fe 2.51, 2 Rh 2.61, 6 Cu 2.63-2.73
Rh: 0.0000 0.0000 0.5102  2 Cu 2.61, 8 Rh 2.63-2.73
Rh: 0.0000 0.5000 0.2432  2 Fe 2.54, 8 Rh 2.63-2.73

Results
VASP energy: -53.00 eV for the cell shown

***

# 7
The following is a DFT calculation (PBE) of a relaxed structure of LuHfAl2.

Unit cell a=4.4627 b=4.4627 c=4.0657 alpha=90.00 beta=90.00 gamma=90.00
With the nearest neighbours (Å) after each atom.
Space group P4/mmm (No. 123)
One atom of each set of equivalent atoms:
Lu: 0.0000 0.0000 0.0000  8 Al 3.02, 4 Hf 3.16
Hf: 0.5000 0.5000 0.0000  8 Al 3.02, 4 Lu 3.16
Al: 0.0000 0.5000 0.5000  4 Hf 3.02, 4 Lu 3.02, 4 Al 3.16

Results
VASP energy: -23.11 eV for the cell shown

***

# 8
The following is a DFT calculation (PBE) of a relaxed structure of Os3PdI.

Unit cell a=4.8690 b=4.8690 c=4.8690 alpha=90.00 beta=90.00 gamma=90.00
With the nearest neighbours (Å) after each atom.
Space group Pm-3m (No. 221)
One atom of each set of equivalent atoms:
Os: 0.0000 0.0000 0.5000  2 Pd 2.43
Pd: 0.0000 0.0000 0.0000  6 Os 2.43
I: 0.5000 0.5000 0.5000  12 Os 3.44

Results
VASP energy: -26.64 eV for the cell shown
E_form (uncorrected): 1331 kJ/mol of formula units

***

| no. | DOS at the Fermi energy (states/eV/f.u.) |
| --- | --- |
| 1 | 5.17 |
| 2 | 3.63 |
| 3 | 0.94 |
| 4 | 1.62 |
| 5 | 11.44 |
| 6 | 6.50 |
| 7 | 2.98 |
| 8 | 5.66 |